Pu2GeH | PBE | optimized geometry

The structure in CIF format:
```
data_Pu2GeH
_cell_length_a 3.813
_cell_length_b 3.813
_cell_length_c 5.305
_cell_angle_alpha 68.94
_cell_angle_beta 68.94
_cell_angle_gamma 60.00
_space_group_name_H-M_alt 'P 1'
_space_group_IT_number 1
_space_group_name_Hall 'P 1'
loop_
_atom_site_label
_atom_site_type_symbol
_atom_site_fract_x
_atom_site_fract_y
_atom_site_fract_z
_atom_site_occupancy
H1 H 0.500 0.500 0.500 1
Ge1 Ge 0.000 0.000 0.000 1
Pu1 Pu 0.797 0.797 0.610 1
Pu2 Pu 0.203 0.203 0.390 1
```

## Properties
Calculated total energy in eV/atom: -9.112
Density in g/cm³: 15.3



Ac2PrCo2 | PBE | optimized geometry

The structure in CIF format:
```
data_Ac2PrCo2
_cell_length_a 4.266
_cell_length_b 5.713
_cell_length_c 6.974
_cell_angle_alpha 114.22
_cell_angle_beta 107.81
_cell_angle_gamma 90.00
_space_group_name_H-M_alt 'P 1'
_space_group_IT_number 1
_space_group_name_Hall 'P 1'
loop_
_atom_site_label
_atom_site_type_symbol
_atom_site_fract_x
_atom_site_fract_y
_atom_site_fract_z
_atom_site_occupancy
Ac1 Ac 0.323 0.323 0.647 1
Ac2 Ac 0.677 0.677 0.353 1
Pr1 Pr 0.000 0.000 0.000 1
Co1 Co 0.645 0.144 0.289 1
Co2 Co 0.355 0.856 0.711 1
```

## Properties
E_form in eV per atom: 0.0370
Density in g/cm³: 8.1



TaInIrRu | PBE | optimized geometry

The structure in CIF format:
```
data_TaInIrRu
_cell_length_a 4.538
_cell_length_b 4.538
_cell_length_c 4.538
_cell_angle_alpha 60.00
_cell_angle_beta 60.00
_cell_angle_gamma 60.00
_space_group_name_H-M_alt 'P 1'
_space_group_IT_number 1
_space_group_name_Hall 'P 1'
loop_
_atom_site_label
_atom_site_type_symbol
_atom_site_fract_x
_atom_site_fract_y
_atom_site_fract_z
_atom_site_occupancy
Ru1 Ru 0.250 0.250 0.250 1
Ir1 Ir 0.750 0.750 0.750 1
In1 In 0.500 0.500 0.500 1
Ta1 Ta 0.000 0.000 0.000 1
```

## Properties
E_form in eV per atom: -0.2513
Density in g/cm³: 14.8



Ta2CoP | PBE | optimized geometry

The structure in CIF format:
```
data_Ta2CoP
_cell_length_a 4.444
_cell_length_b 5.921
_cell_length_c 3.076
_cell_angle_alpha 68.06
_cell_angle_beta 84.42
_cell_angle_gamma 122.47
_space_group_name_H-M_alt 'P 1'
_space_group_IT_number 1
_space_group_name_Hall 'P 1'
loop_
_atom_site_label
_atom_site_type_symbol
_atom_site_fract_x
_atom_site_fract_y
_atom_site_fract_z
_atom_site_occupancy
Co1 Co 0.500 0.500 0.000 1
P1 P 0.500 0.000 0.500 1
Ta1 Ta 0.000 0.000 0.000 1
Ta2 Ta 0.000 0.500 0.500 1
```

## Properties
E_form in eV per atom: -0.2734
Density in g/cm³: 12.8



KTaRu2 | PBE | optimized geometry

The structure in CIF format:
```
data_KTaRu2
_cell_length_a 5.134
_cell_length_b 5.134
_cell_length_c 8.892
_cell_angle_alpha 73.22
_cell_angle_beta 73.22
_cell_angle_gamma 90.00
_space_group_name_H-M_alt 'P 1'
_space_group_IT_number 1
_space_group_name_Hall 'P 1'
loop_
_atom_site_label
_atom_site_type_symbol
_atom_site_fract_x
_atom_site_fract_y
_atom_site_fract_z
_atom_site_occupancy
Ru1 Ru 0.792 0.125 0.250 1
Ru2 Ru 0.958 0.625 0.250 1
Ru3 Ru 0.375 0.208 0.750 1
Ru4 Ru 0.875 0.042 0.750 1
K1 K 0.500 0.500 0.000 1
K2 K 0.250 0.750 0.500 1
Ta1 Ta 0.000 0.000 0.000 1
Ta2 Ta 0.750 0.250 0.500 1
```

## Properties
E_form in eV per atom: 1.3361
Density in g/cm³: 6.6



TiTeP2Ru | PBE | optimized geometry

The structure in CIF format:
```
data_TiTeP2Ru
_cell_length_a 4.643
_cell_length_b 4.728
_cell_length_c 4.643
_cell_angle_alpha 90.00
_cell_angle_beta 90.00
_cell_angle_gamma 90.00
_space_group_name_H-M_alt 'P 1'
_space_group_IT_number 1
_space_group_name_Hall 'P 1'
loop_
_atom_site_label
_atom_site_type_symbol
_atom_site_fract_x
_atom_site_fract_y
_atom_site_fract_z
_atom_site_occupancy
Ru1 Ru 0.000 0.500 0.000 1
Te1 Te 0.500 0.500 0.500 1
P1 P 0.000 0.000 0.500 1
P2 P 0.500 0.000 0.000 1
Ti1 Ti 0.000 0.000 0.000 1
```

## Properties
Energy relative to the elements, uncorrected in eV/f.u.: 3.2
Density in g/cm³: 5.5



BiRh | PBE | optimized geometry

The structure in CIF format:
```
data_BiRh
_cell_length_a 4.320
_cell_length_b 9.138
_cell_length_c 6.594
_cell_angle_alpha 90.00
_cell_angle_beta 90.00
_cell_angle_gamma 90.00
_space_group_name_H-M_alt 'P 1'
_space_group_IT_number 1
_space_group_name_Hall 'P 1'
loop_
_atom_site_label
_atom_site_type_symbol
_atom_site_fract_x
_atom_site_fract_y
_atom_site_fract_z
_atom_site_occupancy
Bi1 Bi 0.000 0.321 0.750 1
Bi2 Bi 0.000 0.679 0.750 1
Bi3 Bi 0.000 0.821 0.250 1
Bi4 Bi 0.000 0.179 0.250 1
Bi5 Bi 0.500 0.000 0.849 1
Bi6 Bi 0.500 0.500 0.349 1
Rh1 Rh 0.500 0.783 0.529 1
Rh2 Rh 0.500 0.217 0.529 1
Rh3 Rh 0.500 0.283 0.029 1
Rh4 Rh 0.500 0.717 0.029 1
Rh5 Rh 0.000 0.000 0.595 1
Rh6 Rh 0.000 0.500 0.095 1
```

## Properties
E_form in eV per atom: -0.0424
Density in g/cm³: 11.9



CaLa4Nd6 | PBE | optimized geometry

The structure in CIF format:
```
data_CaLa4Nd6
_cell_length_a 7.994
_cell_length_b 7.994
_cell_length_c 8.760
_cell_angle_alpha 117.15
_cell_angle_beta 117.15
_cell_angle_gamma 90.00
_space_group_name_H-M_alt 'P 1'
_space_group_IT_number 1
_space_group_name_Hall 'P 1'
loop_
_atom_site_label
_atom_site_type_symbol
_atom_site_fract_x
_atom_site_fract_y
_atom_site_fract_z
_atom_site_occupancy
Ca1 Ca 0.500 0.500 0.000 1
La1 La 0.098 0.752 0.850 1
La2 La 0.902 0.902 0.150 1
La3 La 0.752 0.098 0.850 1
La4 La 0.248 0.248 0.150 1
Nd1 Nd 0.943 0.439 0.381 1
Nd2 Nd 0.439 0.943 0.381 1
Nd3 Nd 0.561 0.561 0.619 1
Nd4 Nd 0.000 0.500 0.000 1
Nd5 Nd 0.057 0.057 0.619 1
Nd6 Nd 0.500 0.000 0.000 1
```

## Properties
E_form in eV per atom: 0.3566
Density in g/cm³: 5.7



Q: Among the records above, which one has the highest density?
A: Pu2GeH



Q: Look up the density of the fifth one.
A: 6.6 g/cm³